# LiTlWF6 GGA+U relaxed
# * crystal system: trigonal
# * total energy: -5.0387 eV per atom
data_LiTlWF6
_cell_length_a 5.5122
_cell_length_b 5.5122
_cell_length_c 12.1082
_cell_angle_alpha 90.00
_cell_angle_beta 90.00
_cell_angle_gamma 120.00
_space_group_name_H-M_alt 'P -3 1 c'
_space_group_IT_number 163
_space_group_name_Hall '-P 3 2c'
loop_
_atom_site_label
_atom_site_type_symbol
_atom_site_fract_x
_atom_site_fract_y
_atom_site_fract_z
Li1 Li 0.3333 0.6667 0.2500
Tl1 Tl 0.0000 0.0000 0.0000
W1 W 0.3333 0.6667 0.7500
F1 F 0.0097 0.3788 0.6586